1.
## Na2MnCu3As4 (PBE-GGA)

Data for a geometry-optimized Na2MnCu3As4 structure.

Cell lengths 4.165, 4.165, 10.445 Å; angles 90.00, 90.00, 90.00 degrees
Space group P-4m2 (No. 115)
Asymmetric unit:
Na 0.000 0.500 0.248 (multiplicity 2)
Mn 0.500 0.500 0.000 (multiplicity 1)
Cu 0.000 0.000 0.000 (multiplicity 1)
Cu 0.000 0.500 0.635 (multiplicity 2)
As 0.000 0.000 0.500 (multiplicity 1)
As 0.000 0.500 0.865 (multiplicity 2)
As 0.500 0.500 0.500 (multiplicity 1)

Results
**ΔH_f (0 K)**: -0.216 eV/atom

---

2.
## KTeIrI2 (PBE-GGA)

Data for a geometry-optimized KTeIrI2 structure.

Cell lengths 5.834, 5.834, 5.066 Å; angles 90.00, 90.00, 90.00 degrees
Space group P4/mmm (No. 123)
Asymmetric unit:
K 0.000 0.000 0.000 (multiplicity 1)
Te 0.500 0.500 0.000 (multiplicity 1)
Ir 0.500 0.500 0.500 (multiplicity 1)
I 0.000 0.500 0.500 (multiplicity 2)

Results
**Offset from the most stable computed form**: 0 meV/atom
**Uncorrected formation energy**: -0.2399 eV/atom

---

3.
## Ti5MnBe4 (PBE-GGA)

Data for a geometry-optimized Ti5MnBe4 structure.

Cell lengths 2.971, 2.971, 14.490 Å; angles 90.00, 90.00, 90.00 degrees
Space group P4/mmm (No. 123)
Asymmetric unit:
Ti 0.000 0.000 0.000 (multiplicity 1)
Ti 0.000 0.000 0.200 (multiplicity 2)
Ti 0.000 0.000 0.401 (multiplicity 2)
Mn 0.500 0.500 0.500 (multiplicity 1)
Be 0.500 0.500 0.099 (multiplicity 2)
Be 0.500 0.500 0.299 (multiplicity 2)

Results
**ΔH_f (0 K)**: -0.182 eV/atom

---

4.
## TbCe2ThS5 (PBE-GGA)

Data for a geometry-optimized TbCe2ThS5 structure.

Cell lengths 4.915, 4.915, 10.478 Å; angles 90.00, 90.00, 90.00 degrees
Space group P4/mmm (No. 123)
Asymmetric unit:
Tb 0.000 0.000 0.000 (multiplicity 1)
Ce 0.500 0.500 0.194 (multiplicity 2)
Th 0.000 0.000 0.500 (multiplicity 1)
S 0.000 0.000 0.253 (multiplicity 2)
S 0.000 0.500 0.000 (multiplicity 2)
S 0.500 0.500 0.500 (multiplicity 1)

Results
**Uncorrected formation energy**: -1.3624 eV/atom

---

5.
## PmErTmHg (PBE-GGA)

Data for a geometry-optimized PmErTmHg structure.

Cell lengths 7.631, 7.631, 7.631 Å; angles 90.00, 90.00, 90.00 degrees
Space group F-43m (No. 216)
Asymmetric unit:
Pm 0.000 0.000 0.000 (multiplicity 4)
Er 0.250 0.250 0.250 (multiplicity 4)
Tm 0.250 0.250 0.750 (multiplicity 4)
Hg 0.000 0.000 0.500 (multiplicity 4)

Results
**Offset from the most stable computed form**: 231 meV/atom
**ΔH_f (0 K)**: -0.006 eV/atom

---

6.
## Pm8Nd2In (PBE-GGA)

Data for a geometry-optimized Pm8Nd2In structure.

Cell lengths 18.446, 5.069, 8.102 Å; angles 90.00, 105.37, 90.00 degrees
Space group C2/m (No. 12)
Asymmetric unit:
Pm 0.044 0.000 0.228 (multiplicity 4)
Pm 0.089 0.500 0.941 (multiplicity 4)
Pm 0.135 0.000 0.676 (multiplicity 4)
Pm 0.178 0.500 0.409 (multiplicity 4)
Nd 0.224 0.000 0.135 (multiplicity 4)
In 0.000 0.500 0.500 (multiplicity 2)

Results
**Offset from the most stable computed form**: 0 meV/atom
**ΔH_f (0 K)**: -0.065 eV/atom

---

7.
## TaGe2PbS (PBE-GGA)

Data for a geometry-optimized TaGe2PbS structure.

Cell lengths 5.089, 5.089, 4.589 Å; angles 90.00, 90.00, 90.00 degrees
Space group P4/mmm (No. 123)
Asymmetric unit:
Ta 0.000 0.000 0.000 (multiplicity 1)
Ge 0.000 0.500 0.500 (multiplicity 2)
Pb 0.500 0.500 0.000 (multiplicity 1)
S 0.000 0.000 0.500 (multiplicity 1)

Results
**Uncorrected formation energy**: 0.5988 eV/atom

---

8.
## CsU2Ag2S6 (PBE-GGA)

Data for a geometry-optimized CsU2Ag2S6 structure.

Cell lengths 7.297, 7.368, 8.107 Å; angles 63.11, 64.17, 60.99 degrees
Space group P-1 (No. 2)
Asymmetric unit:
Cs 0.000 0.000 0.000 (multiplicity 1)
U 0.331 0.336 0.001 (multiplicity 2)
Ag 0.422 0.709 0.555 (multiplicity 2)
S 0.074 0.647 0.777 (multiplicity 2)
S 0.344 0.512 0.219 (multiplicity 2)
S 0.498 0.073 0.781 (multiplicity 2)

Results
**Uncorrected formation energy**: -0.9417 eV/atom

---

9.
## KIn2Os (PBE-GGA)

Data for a geometry-optimized KIn2Os structure.

Cell lengths 8.630, 2.919, 8.104 Å; angles 90.00, 94.94, 90.00 degrees
Space group C2/m (No. 12)
Asymmetric unit:
K 0.000 0.000 0.000 (multiplicity 2)
In 0.235 0.000 0.683 (multiplicity 4)
Os 0.000 0.500 0.500 (multiplicity 2)

Results
**Offset from the most stable computed form**: 125 meV/atom
**ΔH_f (0 K)**: 0.458 eV/atom

---

10.
## TlAs2WSe (PBE-GGA)

Data for a geometry-optimized TlAs2WSe structure.

Cell lengths 4.937, 4.937, 5.137 Å; angles 90.00, 90.00, 90.00 degrees
Space group P4/mmm (No. 123)
Asymmetric unit:
Tl 0.000 0.000 0.000 (multiplicity 1)
As 0.000 0.500 0.500 (multiplicity 2)
W 0.500 0.500 0.500 (multiplicity 1)
Se 0.500 0.500 0.000 (multiplicity 1)

Results
**Offset from the most stable computed form**: 0 meV/atom
**Uncorrected formation energy**: 0.2508 eV/atom

---

11.
## AsIrW (PBE-GGA)

Data for a geometry-optimized AsIrW structure.

Cell lengths 6.020, 6.020, 6.020 Å; angles 90.00, 90.00, 90.00 degrees
Space group F-43m (No. 216)
Asymmetric unit:
As 0.000 0.000 0.000 (multiplicity 4)
Ir 0.000 0.000 0.500 (multiplicity 4)
W 0.250 0.250 0.750 (multiplicity 4)

Results
**Offset from the most stable computed form**: 186 meV/atom
**ΔH_f (0 K)**: 0.276 eV/atom

---

12.
## Ba2PrSnSe5 (PBE-GGA)

Data for a geometry-optimized Ba2PrSnSe5 structure.

Cell lengths 4.588, 19.074, 13.291 Å; angles 90.00, 90.00, 90.00 degrees
Space group Cmc2_1 (No. 36)
Asymmetric unit:
Ba 0.000 0.114 0.000 (multiplicity 4)
Ba 0.000 0.130 0.630 (multiplicity 4)
Pr 0.000 0.213 0.335 (multiplicity 4)
Sn 0.000 0.453 0.768 (multiplicity 4)
Se 0.000 0.050 0.372 (multiplicity 4)
Se 0.000 0.288 0.981 (multiplicity 4)
Se 0.000 0.318 0.686 (multiplicity 4)
Se 0.000 0.364 0.318 (multiplicity 4)
Se 0.000 0.495 0.085 (multiplicity 4)

Results
**Uncorrected formation energy**: -1.5434 eV/atom